Here is an optimized crystal structure of CdCuW2 from Alexandria via LeMat-Bulk. Energies are from PBE-GGA.

Structure (CIF):
```
data_CdCuW2
_symmetry_space_group_name_H-M 'C m m m'
_symmetry_Int_Tables_number 65
_symmetry_space_group_name_Hall '-C 2 2'
_cell_length_a 3.894
_cell_length_b 3.907
_cell_length_c 8.377
_cell_angle_alpha 90.00
_cell_angle_beta 90.00
_cell_angle_gamma 90.00
loop_
_atom_site_label
_atom_site_fract_x
_atom_site_fract_y
_atom_site_fract_z
_atom_site_occupancy
Cd1 0.000 0.000 0.000 1
Cu1 0.000 0.000 0.500 1
W1 0.000 0.500 0.278 1
```

Results
**ΔE_f**: 520 meV per atom
**E**: -7.209 eV per atom
**DOS(E_F)**: 1.72 states/eV/cell